A PBEsol-optimized structure of TaBiF2, computed with meta-GGA SCAN.

The space group is I-42d (No. 122) and the conventional cell measures 4.377, 4.377 and 14.114 Å, with angles of 90.00, 90.00 and 90.00 degrees. Symmetry generates all atoms from Ta at (0.000, 0.000, 0.000), Bi at (0.000, 0.000, 0.500) and F at (0.070, 0.250, 0.125).

The density of states at the Fermi level is 8.900 states/eV/cell. The crystal system is tetragonal. Its uncorrected formation energy is -4.5 eV per formula unit.

A PBEsol-optimized structure of BiTeF2, computed with meta-GGA SCAN.

The space group is I-42d (No. 122) and the conventional cell measures 4.479, 4.479 and 16.080 Å, with angles of 90.00, 90.00 and 90.00 degrees. Symmetry generates all atoms from Bi at (0.000, 0.000, 0.000), Te at (0.000, 0.000, 0.500) and F at (0.160, 0.250, 0.125).

The density of states at the Fermi level is 7.754 states/eV/cell. The crystal system is tetragonal. Its uncorrected formation energy is -4.6 eV per formula unit.